# 1
SrAgS2Cl: optimized geometry, PBE.

## Properties
- DOS at the Fermi energy: 2.004 states/eV per cell
- Magnetization: 0.00 μB per cell
- Formation energy without anion corrections: -0.73 eV/atom
- Total DFT energy (no corrections): -3.66 eV per atom

Geometry as extended XYZ:
```
5
Lattice="-2.776 0.267 -3.990 3.072 -2.968 -2.335 -2.716 -4.084 1.616" Properties=species:S:1:pos:R:3 pbc="T T T"
Sr -1.210 -3.392 -2.355
S 1.536 -1.484 -1.168
S -1.388 0.133 -1.995
Ag 0.000 0.000 0.000
Cl -1.358 -2.042 0.808
```

# 2
Ba2AcAu: optimized geometry, PBE.

## Properties
- Formation enthalpy at 0 K: -0.93 eV per formula unit
- DOS at the Fermi energy: 5.223 states/eV per cell
- Magnetization: 0.64 μB per cell
- Total DFT energy (no corrections): -3.04 eV per atom

Geometry as extended XYZ:
```
4
Lattice="4.404 0.000 0.000 2.202 3.814 0.000 2.202 1.271 11.141" Properties=species:S:1:pos:R:3 pbc="T T T"
Ba 2.202 1.271 9.063
Ba 2.202 1.271 2.079
Ac 4.404 2.542 5.571
Au 6.606 3.814 11.139
```

# 3
Al2V3Fe3: optimized geometry, PBE.

## Properties
- Formation enthalpy at 0 K: -2.39 eV per formula unit
- DOS at the Fermi energy: 3.061 states/eV per cell
- Magnetization: 2.86 μB per cell
- Total DFT energy (no corrections): -7.83 eV per atom

Geometry as extended XYZ:
```
8
Lattice="3.923 0.000 1.182 1.783 3.494 1.182 -0.012 -0.007 7.139" Properties=species:S:1:pos:R:3 pbc="T T T"
Al 0.012 0.007 7.060
Al 2.829 1.732 4.811
V 1.408 0.862 2.426
V 4.283 2.623 7.084
V 3.563 2.182 2.376
Fe 0.706 0.432 4.756
Fe 4.987 3.054 4.748
Fe 2.128 1.303 7.138
```

# 4
Ac6P2RhCl3: optimized geometry, PBE.

## Properties
- DOS at the Fermi energy: 6.901 states/eV per cell
- Magnetization: 0.00 μB per cell
- Formation energy without anion corrections: -1.42 eV/atom
- Total DFT energy (no corrections): -5.45 eV per atom

Geometry as extended XYZ:
```
12
Lattice="4.289 0.000 0.000 0.000 9.150 0.426 -2.145 -2.529 9.335" Properties=species:S:1:pos:R:3 pbc="T T T"
Ac 0.000 6.601 6.715
Ac 2.145 4.274 3.449
Ac 2.145 0.020 3.045
Ac 0.000 2.021 0.238
Ac 2.145 4.599 9.523
Ac 0.000 2.347 6.311
P 2.145 4.454 6.456
P 0.000 2.166 3.305
Rh 2.145 0.000 0.000
Cl 2.145 4.575 0.213
Cl 2.145 -0.013 6.336
Cl 0.000 6.633 3.424
```

# 5
Mg3FeAs: optimized geometry, PBE.

## Properties
- Formation enthalpy at 0 K: 2.71 eV per formula unit
- DOS at the Fermi energy: 20.710 states/eV per cell
- Magnetization: 2.99 μB per cell
- Total DFT energy (no corrections): -3.04 eV per atom

Geometry as extended XYZ:
```
5
Lattice="4.980 0.000 0.000 0.000 4.980 0.000 0.000 0.000 4.980" Properties=species:S:1:pos:R:3 pbc="T T T"
Mg 0.000 2.490 0.000
Mg 0.000 0.000 2.490
Mg 2.490 0.000 0.000
As 0.000 0.000 0.000
Fe 2.490 2.490 2.490
```

# 6
CuSnHg2Pt: optimized geometry, PBE.

## Properties
- Formation enthalpy at 0 K: 4.86 eV per formula unit
- DOS at the Fermi energy: 6.319 states/eV per cell
- Magnetization: 0.00 μB per cell
- Total DFT energy (no corrections): -1.98 eV per atom

Geometry as extended XYZ:
```
5
Lattice="-1.449 -1.500 5.020 0.380 -4.616 -1.269 5.222 0.014 1.511" Properties=species:S:1:pos:R:3 pbc="T T T"
Cu 0.190 -2.308 -0.635
Hg 2.611 0.007 0.756
Hg -0.724 -0.750 2.510
Pt 2.077 -3.051 2.631
Sn 0.000 0.000 0.000
```

# 7
YTe2O: optimized geometry, PBE.

## Properties
- DOS at the Fermi energy: 2.619 states/eV per cell
- Magnetization: 0.00 μB per cell
- Formation energy without anion corrections: 0.17 eV/atom
- Total DFT energy (no corrections): -4.25 eV per atom

Geometry as extended XYZ:
```
4
Lattice="3.253 -9.015 0.761 6.005 -7.259 1.917 3.403 -8.016 4.073" Properties=species:S:1:pos:R:3 pbc="T T T"
Y 0.000 0.000 0.000
Te 11.307 -21.693 6.030
Te 1.354 -2.598 0.722
O 6.330 -12.145 3.376
```

# 8
Ge2SbP: optimized geometry, PBE.

## Properties
- DOS at the Fermi energy: 1.590 states/eV per cell
- Magnetization: 0.00 μB per cell
- Formation energy without anion corrections: 0.54 eV/atom
- Total DFT energy (no corrections): -4.15 eV per atom

Geometry as extended XYZ:
```
4
Lattice="-3.131 -2.659 1.537 1.064 -3.362 2.608 -1.452 2.215 7.135" Properties=species:S:1:pos:R:3 pbc="T T T"
Sb -1.759 -1.903 5.640
Ge -1.217 0.915 5.363
Ge -2.302 -4.721 5.917
P 0.000 0.000 0.000
```

# 9
TiSeBr2O: optimized geometry, PBE.

## Properties
- DOS at the Fermi energy: 9.083 states/eV per cell
- Magnetization: 0.00 μB per cell
- Formation energy without anion corrections: 0.46 eV/atom
- Total DFT energy (no corrections): -3.48 eV per atom

Geometry as extended XYZ:
```
5
Lattice="4.678 0.000 0.000 0.000 4.678 0.000 0.000 0.000 4.477" Properties=species:S:1:pos:R:3 pbc="T T T"
O 0.000 0.000 0.000
Se 0.000 0.000 2.239
Br 0.000 2.339 0.000
Br 2.339 0.000 0.000
Ti 2.339 2.339 2.239
```

# 10
AgGe2Pd2: optimized geometry, PBE.

## Properties
- Formation enthalpy at 0 K: -0.51 eV per formula unit
- DOS at the Fermi energy: 1.844 states/eV per cell
- Magnetization: 0.00 μB per cell
- Total DFT energy (no corrections): -4.60 eV per atom

Geometry as extended XYZ:
```
5
Lattice="-2.741 0.269 2.700 2.665 -0.453 2.751 0.759 5.884 2.939" Properties=species:S:1:pos:R:3 pbc="T T T"
Ge -1.010 3.030 4.182
Ge 1.693 2.669 4.208
Pd 0.141 1.249 2.773
Pd 0.542 4.451 5.616
Ag 0.000 0.000 0.000
```

# 11
LiTm2B10: optimized geometry, PBE.

## Properties
- Formation enthalpy at 0 K: -4.42 eV per formula unit
- DOS at the Fermi energy: 3.128 states/eV per cell
- Magnetization: 0.00 μB per cell
- Total DFT energy (no corrections): -6.31 eV per atom

Geometry as extended XYZ:
```
26
Lattice="4.122 0.000 0.000 0.000 5.603 0.000 0.000 0.000 11.074" Properties=species:S:1:pos:R:3 pbc="T T T"
Li 0.000 2.802 5.537
Li 0.000 0.000 0.000
Tm 2.061 1.698 9.548
Tm 2.061 3.905 1.526
Tm 2.061 4.499 7.063
Tm 2.061 1.104 4.011
B 0.000 0.670 6.010
B 0.000 4.934 5.064
B 0.000 3.471 10.601
B 0.000 2.132 0.473
B 0.000 0.823 7.749
B 0.000 4.780 3.325
B 1.246 1.203 1.304
B 1.246 4.400 9.770
B 2.876 4.005 4.233
B 2.876 1.598 6.841
B 2.876 4.400 9.770
B 2.876 1.203 1.304
B 1.246 1.598 6.841
B 1.246 4.005 4.233
B 0.000 0.252 2.094
B 0.000 5.351 8.981
B 0.000 3.053 3.444
B 0.000 2.550 7.631
B 0.000 1.978 2.212
B 0.000 3.625 8.862
```

# 12
La2Nd2Tm5: optimized geometry, PBE.

## Properties
- Formation enthalpy at 0 K: 1.78 eV per formula unit
- DOS at the Fermi energy: 30.618 states/eV per cell
- Magnetization: 0.00 μB per cell
- Total DFT energy (no corrections): -4.44 eV per atom

Geometry as extended XYZ:
```
18
Lattice="11.938 0.000 0.000 0.000 6.743 0.000 -5.969 -3.372 7.506" Properties=species:S:1:pos:R:3 pbc="T T T"
La -0.007 3.773 1.912
La 5.976 0.402 5.594
La 5.976 0.402 1.912
La -0.007 3.773 5.594
Nd 0.000 0.103 0.000
Nd 5.969 3.475 0.000
Nd 0.110 0.720 3.753
Nd 5.859 4.092 3.753
Tm -2.907 1.355 6.707
Tm 8.877 4.726 0.800
Tm -3.062 -2.017 6.707
Tm 9.031 1.355 0.800
Tm 2.776 -0.734 2.135
Tm 3.193 2.638 5.372
Tm 3.193 2.638 2.135
Tm 2.776 -0.734 5.372
Tm -2.904 2.769 3.753
Tm 8.873 -0.603 3.753
```

# 13
PmBOs: optimized geometry, PBE.

## Properties
- Formation enthalpy at 0 K: -0.85 eV per formula unit
- DOS at the Fermi energy: 0.847 states/eV per cell
- Magnetization: 0.00 μB per cell
- Total DFT energy (no corrections): -7.84 eV per atom

Geometry as extended XYZ:
```
3
Lattice="-2.360 -3.559 -1.226 1.831 -2.059 2.451 -3.108 1.719 0.991" Properties=species:S:1:pos:R:3 pbc="T T T"
B -0.393 -0.593 -0.204
Os -1.855 -0.133 1.274
Pm -1.389 -3.173 1.147
```

# 14
VZnRe2: optimized geometry, PBE.

## Properties
- Formation enthalpy at 0 K: 3.04 eV per formula unit
- DOS at the Fermi energy: 6.377 states/eV per cell
- Magnetization: 0.00 μB per cell
- Total DFT energy (no corrections): -8.06 eV per atom

Geometry as extended XYZ:
```
8
Lattice="6.963 0.000 0.000 0.000 6.963 0.000 3.482 3.482 2.604" Properties=species:S:1:pos:R:3 pbc="T T T"
Re 5.029 1.741 0.651
Re 1.935 5.222 0.651
Re 5.222 5.416 1.953
Re 8.704 8.510 1.953
Zn 0.000 0.000 0.000
Zn 6.963 3.482 1.302
V 3.482 3.482 0.000
V 3.482 6.963 1.302
```

# 15
Pm3AlSi6Pd2: optimized geometry, PBE.

## Properties
- DOS at the Fermi energy: 4.475 states/eV per cell
- Magnetization: 0.00 μB per cell
- Formation energy without anion corrections: -0.41 eV/atom
- Total DFT energy (no corrections): -5.49 eV per atom

Geometry as extended XYZ:
```
12
Lattice="-2.749 2.609 -4.376 -3.017 -2.104 4.471 0.696 7.219 3.867" Properties=species:S:1:pos:R:3 pbc="T T T"
Pm -2.497 3.944 3.920
Pm -2.575 3.780 0.042
Pm 0.000 0.000 0.000
Al 0.348 3.609 1.934
Si -3.924 1.932 2.010
Si -1.504 1.720 1.970
Si -2.770 0.837 3.847
Si -3.568 6.004 1.991
Si -1.147 5.792 1.952
Si -2.301 6.887 0.115
Pd -2.164 8.038 2.323
Pd -2.907 -0.314 1.639
```

# 16
Sc3TaIr: optimized geometry, PBE.

## Properties
- Formation enthalpy at 0 K: 5.27 eV per formula unit
- DOS at the Fermi energy: 3.958 states/eV per cell
- Magnetization: 0.00 μB per cell
- Total DFT energy (no corrections): -6.89 eV per atom

Geometry as extended XYZ:
```
5
Lattice="-2.010 3.514 2.752 0.939 -2.618 4.029 4.364 2.182 0.400" Properties=species:S:1:pos:R:3 pbc="T T T"
Sc 0.469 -1.309 2.014
Sc 2.182 1.091 0.200
Sc -1.005 1.757 1.376
Ir 1.647 1.539 3.590
Ta 0.000 0.000 0.000
```

# 17
Ca3Nb4O12F2: optimized geometry, PBE.

## Properties
- DOS at the Fermi energy: 0.000 states/eV per cell
- Magnetization: 0.00 μB per cell
- Formation energy without anion corrections: -2.91 eV/atom
- Total DFT energy (no corrections): -8.12 eV per atom

Geometry as extended XYZ:
```
21
Lattice="7.431 -0.001 -0.001 3.614 6.492 -0.001 3.614 2.124 6.135" Properties=species:S:1:pos:R:3 pbc="T T T"
Ca 3.614 4.308 3.067
Ca 5.523 3.246 -0.001
Ca 5.523 1.061 3.067
Nb 0.000 0.000 0.000
Nb 3.715 -0.001 0.000
Nb 1.807 1.062 3.068
Nb 1.807 3.246 0.000
O 9.292 2.710 1.930
O 9.079 7.994 5.691
O 6.889 4.049 5.793
O 11.402 6.701 1.957
O 11.402 4.042 5.691
O 6.889 6.799 1.930
O 5.367 5.905 4.204
O 5.580 0.621 0.442
O 7.770 4.567 0.340
O 3.258 1.915 4.176
O 3.258 4.573 0.442
O 7.770 1.816 4.204
F 5.290 3.109 2.213
F 9.369 5.506 3.920
```

# 18
CeSm2ScTe4: optimized geometry, PBE.

## Properties
- DOS at the Fermi energy: 10.677 states/eV per cell
- Magnetization: 1.20 μB per cell
- Formation energy without anion corrections: -1.29 eV/atom
- Total DFT energy (no corrections): -5.58 eV per atom

Geometry as extended XYZ:
```
8
Lattice="-2.992 3.164 -0.019 -5.292 -5.018 -2.286 0.129 0.166 7.610" Properties=species:S:1:pos:R:3 pbc="T T T"
Ce -4.142 -0.927 -1.152
Sm -1.432 1.665 3.796
Sm -2.582 -2.426 2.662
Sc 0.000 0.000 0.000
Te -2.707 0.444 1.252
Te -5.448 -2.131 4.053
Te -1.177 -1.082 5.197
Te -3.987 -3.769 0.127
```

# 19
LaCeGd2: optimized geometry, PBE.

## Properties
- Formation enthalpy at 0 K: 0.24 eV per formula unit
- DOS at the Fermi energy: 8.010 states/eV per cell
- Magnetization: 13.80 μB per cell
- Total DFT energy (no corrections): -9.70 eV per atom

Geometry as extended XYZ:
```
4
Lattice="-3.366 -0.858 -0.821 1.027 -0.867 -3.306 1.704 -9.598 3.046" Properties=species:S:1:pos:R:3 pbc="T T T"
Gd 1.251 -7.044 2.235
Gd 0.454 -2.555 0.811
Ce -0.317 -5.662 -0.541
La -1.169 -0.862 -2.064
```

# 20
Zr2Zn: optimized geometry, PBE.

## Properties
- Formation enthalpy at 0 K: 0.86 eV per formula unit
- DOS at the Fermi energy: 16.103 states/eV per cell
- Magnetization: 0.00 μB per cell
- Total DFT energy (no corrections): -5.84 eV per atom

Geometry as extended XYZ:
```
12
Lattice="-1.838 4.096 4.679 2.147 -4.161 4.486 5.836 2.821 -0.176" Properties=species:S:1:pos:R:3 pbc="T T T"
Zn 0.000 0.000 0.000
Zn 3.991 -0.670 2.155
Zn 1.999 3.458 2.251
Zn 0.154 -0.033 4.582
Zr 6.042 0.288 3.532
Zr 3.524 -1.898 4.456
Zr 4.626 3.131 2.160
Zr 2.108 0.946 3.084
Zr 4.036 1.810 5.904
Zr 1.518 -0.376 6.828
Zr 2.620 4.654 4.533
Zr 0.102 2.468 5.457
```

# 21
TiHg2AsC: optimized geometry, PBE.

## Properties
- Formation enthalpy at 0 K: 5.94 eV per formula unit
- DOS at the Fermi energy: 5.575 states/eV per cell
- Magnetization: 0.00 μB per cell
- Total DFT energy (no corrections): -3.29 eV per atom

Geometry as extended XYZ:
```
5
Lattice="-4.210 -0.088 1.869 -0.021 -4.432 -0.258 1.871 -0.253 4.203" Properties=species:S:1:pos:R:3 pbc="T T T"
C 0.000 0.000 0.000
As -0.011 -2.216 -0.129
Hg 0.936 -0.127 2.101
Hg -2.105 -0.044 0.935
Ti -1.180 -2.387 2.907
```

# 22
TcBH2: optimized geometry, PBE.

## Properties
- DOS at the Fermi energy: 1.290 states/eV per cell
- Magnetization: 0.00 μB per cell
- Total DFT energy (no corrections): -5.30 eV per atom

Geometry as extended XYZ:
```
4
Lattice="-1.261 -0.665 -2.466 1.581 -0.606 -2.290 0.121 -4.078 -0.608" Properties=species:S:1:pos:R:3 pbc="T T T"
H 0.115 -2.448 -1.044
H 0.326 -2.901 -4.320
B 0.221 -2.674 -2.682
Tc 0.000 0.000 0.000
```

# 23
HfAlZnRe: optimized geometry, PBE.

## Properties
- Formation enthalpy at 0 K: -0.52 eV per formula unit
- DOS at the Fermi energy: 1.232 states/eV per cell
- Magnetization: 0.00 μB per cell
- Total DFT energy (no corrections): -6.98 eV per atom

Geometry as extended XYZ:
```
4
Lattice="4.512 0.000 0.000 2.256 3.907 0.000 2.256 1.302 3.684" Properties=species:S:1:pos:R:3 pbc="T T T"
Re 2.256 1.302 0.921
Zn 6.768 3.907 2.763
Hf 0.000 0.000 0.000
Al 4.512 2.605 1.842
```

# 24
CaInMo2: optimized geometry, PBE.

## Properties
- Formation enthalpy at 0 K: 0.66 eV per formula unit
- DOS at the Fermi energy: 3.206 states/eV per cell
- Magnetization: 0.00 μB per cell
- Total DFT energy (no corrections): -6.44 eV per atom

Geometry as extended XYZ:
```
4
Lattice="-0.625 -0.540 -3.208 2.906 -1.588 -0.299 -0.503 -8.164 1.471" Properties=species:S:1:pos:R:3 pbc="T T T"
Mo 2.792 -1.817 -0.238
Mo 0.478 -2.330 -1.412
Ca 1.265 -4.753 0.553
In 1.351 -7.855 -0.653
```

# 25
TaRh3Au: optimized geometry, PBE.

## Properties
- Formation enthalpy at 0 K: 8.95 eV per formula unit
- DOS at the Fermi energy: 5.334 states/eV per cell
- Magnetization: 0.00 μB per cell
- Total DFT energy (no corrections): -5.65 eV per atom

Geometry as extended XYZ:
```
5
Lattice="-4.374 -1.028 -1.527 0.891 -4.627 0.562 -1.610 0.232 4.458" Properties=species:S:1:pos:R:3 pbc="T T T"
Rh 0.446 -2.314 0.281
Rh -0.805 0.116 2.229
Rh -2.187 -0.514 -0.763
Au 0.000 0.000 0.000
Ta -2.547 -2.712 1.747
```